DFT (PBE) results for a geometry-optimized RbAsI structure.

Properties
V: 290 Å³/cell
SG: No. 1
crystal system: triclinic
energy relative to the elements, uncorrected: -1.99 eV per formula unit

Cell: 5.4218 6.1027 10.7273 Å, 94.70 62.61 72.22°
Fractional coordinates of all 6 atoms:
As  0.5588  0.1029  0.9334
As  0.7971  0.9899  0.6978
Rb  0.0329  0.9452  0.2854
Rb  0.3639  0.6012  0.7547
I  0.8737  0.5119  0.1000
I  0.1918  0.3248  0.5008